# 1
PBE HgP2CO, relaxed; symmetry = P4/mmm, No. 123; D(E_F) = 0.3613 states/eV/atom; mass density = 7.31 g/cm3; volume = 13.20 A^3/atom; E_form (uncorrected) = 1.1311 eV/atom; excess energy over the best structure of this formula in the dataset = 0 meV per atom
1.0
4.472 0.000 0.000
0.000 4.472 0.000
0.000 0.000 3.300
P C Hg O
2 1 1 1
Direct
0.000 0.500 0.000 P
0.500 0.000 0.000 P
0.000 0.000 0.000 C
0.500 0.500 0.500 Hg
0.000 0.000 0.500 O

***

# 2
PBE CuPCl2, relaxed; symmetry = C2/m, No. 12; D(E_F) = 0.3754 states/eV/atom; mass density = 3.15 g/cm3; volume = 21.80 A^3/atom; E_form (uncorrected) = -0.1126 eV/atom; excess energy over the best structure of this formula in the dataset = 234 meV per atom
1.0
8.071 0.216 0.027
7.338 3.368 0.027
-0.746 -0.173 3.404
Cl Cu P
2 1 1
Direct
0.107 0.107 0.113 Cl
0.393 0.393 0.387 Cl
0.750 0.750 0.750 Cu
0.250 0.250 0.250 P

***

# 3
PBE RbCaMn2Cl8, relaxed; symmetry = P-3, No. 147; D(E_F) = 1.0344 states/eV/atom; mass density = 2.32 g/cm3; volume = 30.92 A^3/atom; E_form (uncorrected) = -1.4803 eV/atom
1.0
-6.092 1.573 2.341
0.750 -1.907 -6.393
-1.363 -9.059 2.542
Rb Ca Mn Cl
1 1 2 8
Direct
0.000 0.000 0.000 Rb
0.000 0.000 0.500 Ca
0.667 0.333 0.259 Mn
0.333 0.667 0.741 Mn
0.333 0.667 0.974 Cl
0.327 0.320 0.322 Cl
0.680 0.007 0.322 Cl
0.667 0.333 0.026 Cl
0.320 0.993 0.678 Cl
0.673 0.680 0.678 Cl
0.007 0.327 0.678 Cl
0.993 0.673 0.322 Cl

***

# 4
PBE RbUIO6, relaxed; symmetry = P-31c, No. 163; D(E_F) = 0.0000 states/eV/atom; mass density = 5.10 g/cm3; volume = 19.78 A^3/atom; E_form (uncorrected) = -1.7766 eV/atom
1.0
5.734 0.000 0.000
-2.867 4.966 0.000
0.000 0.000 12.506
Rb U I O
2 2 2 12
Direct
0.000 0.000 0.000 Rb
0.000 0.000 0.500 Rb
0.333 0.667 0.250 U
0.667 0.333 0.750 U
0.667 0.333 0.250 I
0.333 0.667 0.750 I
0.617 0.617 0.160 O
0.999 0.383 0.160 O
0.383 0.999 0.660 O
0.001 0.617 0.840 O
0.383 0.383 0.340 O
0.999 0.617 0.340 O
0.617 0.999 0.840 O
0.617 0.001 0.340 O
0.001 0.383 0.660 O
0.383 0.001 0.160 O
0.617 0.617 0.660 O
0.383 0.383 0.840 O

***

# 5
PBE TaNb4Pd, relaxed; symmetry = Pmma, No. 51; D(E_F) = 0.7310 states/eV/atom; mass density = 10.06 g/cm3; volume = 18.13 A^3/atom; formation energy = 30 meV/atom
1.0
3.160 0.000 0.000
0.000 7.332 0.000
0.000 0.000 9.393
Ta Nb Pd
2 8 2
Direct
0.000 0.374 0.250 Ta
0.000 0.626 0.750 Ta
0.500 0.326 0.986 Nb
0.500 0.326 0.514 Nb
0.500 0.674 0.014 Nb
0.500 0.674 0.486 Nb
0.500 0.049 0.250 Nb
0.500 0.951 0.750 Nb
0.000 0.000 0.000 Nb
0.000 0.000 0.500 Nb
0.000 0.744 0.250 Pd
0.000 0.256 0.750 Pd

***

# 6
PBE LaTbSmZr, relaxed; symmetry = F-43m, No. 216; D(E_F) = 1.8831 states/eV/atom; mass density = 7.37 g/cm3; volume = 30.37 A^3/atom; formation energy = 216 meV/atom
1.0
-4.906 -2.276 1.287
-0.310 -5.405 1.264
-1.047 -1.576 5.227
Tb Zr Sm La
1 1 1 1
Direct
0.750 0.750 0.750 Tb
0.250 0.250 0.250 Zr
0.000 0.000 0.000 Sm
0.500 0.500 0.500 La